A plane-wave DFT calculation with PBE was carried out for a geometry-optimized Rb2BaMnN structure.

Unit cell a=7.788 b=3.695 c=7.788 alpha=90.00 beta=90.00 gamma=90.00
Last column: magnetic moment on the atom in μB.
Element x y z (fractional)
Mn (0.000, 0.000, 0.000)  3.55
Ba (0.500, 0.500, 0.500)  -0.15
Rb (0.000, 0.000, 0.500)  -0.02
Rb (0.500, 0.000, 0.000)  -0.01
N (0.000, 0.500, 0.000)  -0.25

Output
Spin magnetization ... 2.9 μB/cell
V ... 44.821 A^3/atom
VASP energy ... -3.74 eV per atom
Energy relative to the elements, uncorrected ... 2.629 eV/f.u.